## a
Below is a relaxed TaIrCl2 crystal, with properties calculated at the PBEsol level.

Computed properties:
V in Å³/f.u.: 63
Total magnetic moment in Bohr magnetons per cell: 0.0

Unit cell a=2.9002 b=4.7749 c=4.7749 alpha=107.96 beta=90.00 gamma=90.00
With the nearest neighbours (Å) after each atom.
Atoms (fractional coordinates):
1 Cl 0.0000 0.0000 0.5000  4 Ir 2.79, 4 Ta 2.79, 4 Cl 2.81-2.90
2 Ir 0.5000 0.0000 0.0000  8 Cl 2.79, 2 Ta 2.81, 2 Ir 2.90
3 Cl 0.0000 0.5000 0.0000  4 Ta 2.79, 4 Ir 2.79, 4 Cl 2.81-2.90
4 Ta 0.5000 0.5000 0.5000  8 Cl 2.79, 2 Ir 2.81, 2 Ta 2.90


## b
Below is a relaxed TaIrCl2 crystal, with properties calculated at the PBEsol level.

Computed properties:
V in Å³/f.u.: 63
Total magnetic moment in Bohr magnetons per cell: 0.0

Unit cell a=2.8521 b=4.3125 c=5.1574 alpha=90.00 beta=90.00 gamma=90.00
With the nearest neighbours (Å) after each atom.
Atoms (fractional coordinates):
1 Cl 0.0000 0.0000 0.0000  4 Ir 2.59, 2 Cl 2.85
2 Ir 0.5000 0.5000 0.0000  4 Cl 2.59, 2 Ir 2.85
3 Cl 0.5000 0.0000 0.5000  4 Ta 2.59, 2 Cl 2.85
4 Ta 0.0000 0.5000 0.5000  4 Cl 2.59, 2 Ta 2.85


Compare the structures above. Which one is the least stable? a is.